# K2PmRh2O7, relaxed, DFT PBE-GGA
# Formation energy (no corrections) (meV/atom): -1433.9
# Magnetic moment (μB/atom): 0.253
data_K2PmRh2O7
_symmetry_space_group_name_H-M 'I 4/m m m'
_symmetry_Int_Tables_number 139
_symmetry_space_group_name_Hall '-I 4 2'
_cell_length_a 3.9907
_cell_length_b 3.9907
_cell_length_c 21.2190
_cell_angle_alpha 90.00
_cell_angle_beta 90.00
_cell_angle_gamma 90.00
loop_
_atom_site_label
_atom_site_type_symbol
_atom_site_fract_x
_atom_site_fract_y
_atom_site_fract_z
K1 K 0.0000 0.0000 0.1860
Pm1 Pm 0.0000 0.0000 0.0000
Rh1 Rh 0.0000 0.0000 0.4049
O1 O 0.0000 0.0000 0.3165
O2 O 0.0000 0.0000 0.5000
O3 O 0.0000 0.5000 0.0770

***

# KPm2RhO5, relaxed, DFT PBE-GGA
# Formation energy (no corrections) (meV/atom): -2200.6
# Magnetic moment (μB/atom): 0.000
data_KPm2RhO5
_symmetry_space_group_name_H-M 'I 4/m c m'
_symmetry_Int_Tables_number 140
_symmetry_space_group_name_Hall '-I 4 2c'
_cell_length_a 6.7479
_cell_length_b 6.7479
_cell_length_c 11.9631
_cell_angle_alpha 90.00
_cell_angle_beta 90.00
_cell_angle_gamma 90.00
loop_
_atom_site_label
_atom_site_type_symbol
_atom_site_fract_x
_atom_site_fract_y
_atom_site_fract_z
K1 K 0.0000 0.0000 0.2500
Pm1 Pm 0.1771 0.3229 0.0000
Rh1 Rh 0.0000 0.5000 0.2500
O1 O 0.0000 0.0000 0.0000
O2 O 0.1276 0.3724 0.3792

***

# K3Pm3RhO8, relaxed, DFT PBE-GGA
# Formation energy (no corrections) (meV/atom): -2226.6
# Magnetic moment (μB/atom): 0.071
data_K3Pm3RhO8
_symmetry_space_group_name_H-M 'R -3 m'
_symmetry_Int_Tables_number 166
_symmetry_space_group_name_Hall '-R 3 2"'
_cell_length_a 6.9698
_cell_length_b 6.9698
_cell_length_c 18.8756
_cell_angle_alpha 90.00
_cell_angle_beta 90.00
_cell_angle_gamma 120.00
loop_
_atom_site_label
_atom_site_type_symbol
_atom_site_fract_x
_atom_site_fract_y
_atom_site_fract_z
K1 K 0.0000 0.5000 0.0000
Pm1 Pm 0.0000 0.5000 0.5000
Rh1 Rh 0.0000 0.0000 0.5000
O1 O 0.0000 0.0000 0.2299
O2 O 0.0333 0.5167 0.2252

***

# K2Pm2RhO6, relaxed, DFT PBE-GGA
# Formation energy (no corrections) (meV/atom): -2060.7
# Magnetic moment (μB/atom): 0.096
data_K2Pm2RhO6
_symmetry_space_group_name_H-M 'C 1 2/m 1'
_symmetry_Int_Tables_number 12
_symmetry_space_group_name_Hall '-C 2y'
_cell_length_a 5.9606
_cell_length_b 10.2071
_cell_length_c 6.5997
_cell_angle_alpha 90.00
_cell_angle_beta 104.72
_cell_angle_gamma 90.00
loop_
_atom_site_label
_atom_site_type_symbol
_atom_site_fract_x
_atom_site_fract_y
_atom_site_fract_z
K1 K 0.0000 0.1557 0.0000
Pm1 Pm 0.0000 0.3357 0.5000
Rh1 Rh 0.0000 0.0000 0.5000
O1 O 0.1977 0.1528 0.6736
O2 O 0.2424 0.0000 0.3217

***

# K2PmRhO4, relaxed, DFT PBE-GGA
# Formation energy (no corrections) (meV/atom): -1755.3
# Magnetic moment (μB/atom): 0.000
data_K2PmRhO4
_symmetry_space_group_name_H-M 'P 1 2/m 1'
_symmetry_Int_Tables_number 10
_symmetry_space_group_name_Hall '-P 2y'
_cell_length_a 5.6540
_cell_length_b 3.4515
_cell_length_c 6.5650
_cell_angle_alpha 90.00
_cell_angle_beta 108.32
_cell_angle_gamma 90.00
loop_
_atom_site_label
_atom_site_type_symbol
_atom_site_fract_x
_atom_site_fract_y
_atom_site_fract_z
K1 K 0.0000 0.0000 0.0000
K2 K 0.5000 0.5000 0.0000
Pm1 Pm 0.0000 0.5000 0.5000
Rh1 Rh 0.5000 0.0000 0.5000
O1 O 0.2501 0.0000 0.6971
O2 O 0.3024 0.5000 0.3193

***

# KPm2RuO5, relaxed, DFT PBE-GGA
# Formation energy (no corrections) (meV/atom): -2310.6
# Magnetic moment (μB/atom): 0.333
data_KPm2RuO5
_symmetry_space_group_name_H-M 'P 4/m b m'
_symmetry_Int_Tables_number 127
_symmetry_space_group_name_Hall '-P 4 2ab'
_cell_length_a 6.8285
_cell_length_b 6.8285
_cell_length_c 5.8349
_cell_angle_alpha 90.00
_cell_angle_beta 90.00
_cell_angle_gamma 90.00
loop_
_atom_site_label
_atom_site_type_symbol
_atom_site_fract_x
_atom_site_fract_y
_atom_site_fract_z
K1 K 0.0000 0.0000 0.0000
Pm1 Pm 0.1777 0.3223 0.5000
Ru1 Ru 0.0000 0.5000 0.0000
O1 O 0.0000 0.0000 0.5000
O2 O 0.1340 0.6340 0.2509

***

> Which of these has the highest formation energy (no corrections)?

K2PmRh2O7

***

> The highest formation energy (no corrections) belongs to which entry?

K2PmRh2O7

***

> What is the formula in the third record?

K3Pm3RhO8